MgAl5Pd3: relaxed, PBE.

* formation energy from the elements: -0.542 eV/atom
* total magnetic moment: 0.00 μB/cell
* energy: -163.06 eV for the cell shown

a = 3.1771 Å, b = 13.7684 Å, c = 13.7007 Å
α = 90.00°, β = 90.00°, γ = 90.00°
Space group Cmcm (No. 63)
Symmetry-distinct sites (fractional):
Mg  0.0000  0.1557  0.2500 x4
Al  0.0000  0.0000  0.0000 x4
Al  0.0000  0.1944  0.5612 x8
Al  0.0000  0.4484  0.1547 x8
Pd  0.0000  0.1678  0.7500 x4
Pd  0.0000  0.3784  0.5781 x8